Run w
PBE MnPb2Cl, relaxed; DOS at the Fermi energy = 0.625 states/eV/atom; total moment = 3.891 μB/cell
1.0
-0.750 2.500 4.838
2.760 -4.039 2.509
2.793 1.648 -0.419
Cl Mn Pb
1 1 2
Direct
0.500 0.000 0.500 Cl
0.000 0.500 0.500 Mn
0.000 0.000 0.000 Pb
0.500 0.500 0.000 Pb


Run x
PBE MnPb2Cl, relaxed; DOS at the Fermi energy = 0.529 states/eV/atom; total moment = 4.437 μB/cell
1.0
7.922 -0.005 0.001
6.042 5.123 -0.001
-6.719 -3.275 2.623
Cl Mn Pb
1 1 2
Direct
0.750 0.250 0.500 Cl
0.250 0.750 0.500 Mn
0.065 0.065 0.000 Pb
0.435 0.435 0.000 Pb


Which of them is the most stable, and which is the least stable? run x and run w, in that order.


Run w
PBE MnPb2Cl6, relaxed; DOS at the Fermi energy = 0.000 states/eV/atom; total moment = 10.000 μB/cell
1.0
6.547 0.000 0.000
0.000 6.547 0.000
0.000 0.000 12.628
Mn Pb Cl
2 4 12
Direct
0.000 0.000 0.000 Mn
0.500 0.500 0.500 Mn
0.000 0.000 0.335 Pb
0.500 0.500 0.835 Pb
0.500 0.500 0.165 Pb
0.000 0.000 0.665 Pb
0.315 0.315 0.352 Cl
0.685 0.685 0.352 Cl
0.185 0.815 0.852 Cl
0.815 0.185 0.852 Cl
0.185 0.815 0.148 Cl
0.815 0.185 0.148 Cl
0.315 0.315 0.648 Cl
0.685 0.685 0.648 Cl
0.280 0.280 0.000 Cl
0.720 0.720 0.000 Cl
0.220 0.780 0.500 Cl
0.780 0.220 0.500 Cl


Run x
PBE MnPb2Cl6, relaxed; DOS at the Fermi energy = 0.000 states/eV/atom; total moment = 10.000 μB/cell
1.0
-4.249 -3.836 0.920
7.197 -1.705 7.994
-4.474 9.752 1.867
Mn Pb Cl
2 4 12
Direct
0.250 0.169 0.831 Mn
0.750 0.831 0.169 Mn
0.642 0.550 0.754 Pb
0.858 0.246 0.450 Pb
0.358 0.450 0.246 Pb
0.142 0.754 0.550 Pb
0.617 0.695 0.541 Cl
0.883 0.459 0.305 Cl
0.383 0.305 0.459 Cl
0.117 0.541 0.695 Cl
0.112 0.887 0.366 Cl
0.388 0.634 0.113 Cl
0.888 0.113 0.634 Cl
0.612 0.366 0.887 Cl
0.874 0.797 0.976 Cl
0.626 0.024 0.203 Cl
0.126 0.203 0.024 Cl
0.374 0.976 0.797 Cl


Which of them is the most stable, and which is the least stable? run w and run x, in that order.


Run w
PBE MnPdCl2, relaxed; DOS at the Fermi energy = 1.187 states/eV/atom; total moment = 3.657 μB/cell
1.0
2.075 0.000 7.800
-1.038 1.797 7.800
-1.038 -1.797 7.800
Mn Pd Cl
1 1 2
Direct
0.000 0.000 0.000 Mn
0.500 0.500 0.500 Pd
0.905 0.905 0.905 Cl
0.095 0.095 0.095 Cl


Run x
PBE MnPdCl2, relaxed; DOS at the Fermi energy = 0.006 states/eV/atom; total moment = 5.000 μB/cell
1.0
0.000 3.264 3.264
3.264 0.000 3.264
3.264 3.264 0.000
Mn Pd Cl
1 1 2
Direct
0.000 0.000 0.000 Mn
0.500 0.500 0.500 Pd
0.250 0.250 0.250 Cl
0.750 0.750 0.750 Cl


Which of them is the most stable, and which is the least stable? run x and run w, in that order.


Run w
PBE MnPdCl2, relaxed; DOS at the Fermi energy = 0.370 states/eV/atom; total moment = 4.926 μB/cell
1.0
2.037 0.000 7.701
-1.018 1.764 7.701
-1.018 -1.764 7.701
Mn Pd Cl
1 1 2
Direct
0.500 0.500 0.500 Mn
0.000 0.000 0.000 Pd
0.898 0.898 0.898 Cl
0.102 0.102 0.102 Cl


Run x
PBE MnPdCl2, relaxed; DOS at the Fermi energy = 1.430 states/eV/atom; total moment = 0.015 μB/cell
1.0
5.623 0.000 0.000
0.000 5.623 0.000
2.811 2.811 4.955
Mn Pd Cl
2 2 4
Direct
0.500 0.500 0.000 Mn
0.250 0.750 0.500 Mn
0.000 0.000 0.000 Pd
0.750 0.250 0.500 Pd
0.574 0.125 0.250 Cl
0.176 0.625 0.250 Cl
0.375 0.426 0.750 Cl
0.875 0.824 0.750 Cl


Which of them is the most stable, and which is the least stable? run w and run x, in that order.


Run w
PBE PmMn2Cl8, relaxed; DOS at the Fermi energy = 0.431 states/eV/atom; total moment = 9.000 μB/cell
1.0
-0.516 0.146 -3.481
9.012 -3.215 -1.469
-3.375 -9.085 1.901
Pm Mn Cl
1 2 8
Direct
0.500 0.000 0.000 Pm
0.168 0.691 0.337 Mn
0.832 0.309 0.663 Mn
0.604 0.570 0.208 Cl
0.369 0.095 0.738 Cl
0.245 0.303 0.489 Cl
0.960 0.804 0.920 Cl
0.755 0.697 0.511 Cl
0.631 0.905 0.262 Cl
0.396 0.430 0.792 Cl
0.040 0.196 0.080 Cl


Run x
PBE PmMn2Cl8, relaxed; DOS at the Fermi energy = 0.970 states/eV/atom; total moment = 9.000 μB/cell
1.0
-4.835 -0.206 -4.495
4.089 -2.462 -6.255
-0.375 -7.766 -1.210
Pm Mn Cl
1 2 8
Direct
0.000 0.000 0.000 Pm
0.670 0.807 0.807 Mn
0.330 0.193 0.193 Mn
0.217 0.302 0.897 Cl
0.783 0.103 0.698 Cl
0.310 0.827 0.827 Cl
0.690 0.173 0.173 Cl
0.217 0.897 0.302 Cl
0.783 0.698 0.103 Cl
0.782 0.639 0.639 Cl
0.218 0.361 0.361 Cl


Which of them is the most stable, and which is the least stable? run x and run w, in that order.


Run w
PBE MnPtCl2, relaxed; DOS at the Fermi energy = 0.178 states/eV/atom; total moment = 4.834 μB/cell
1.0
-4.333 -1.609 5.504
-4.465 -5.292 1.929
6.322 2.564 -2.265
Mn Pt Cl
1 1 2
Direct
0.433 0.433 0.000 Mn
0.283 0.783 0.500 Pt
0.011 0.011 0.000 Cl
0.773 0.273 0.500 Cl


Run x
PBE MnPtCl2, relaxed; DOS at the Fermi energy = 0.409 states/eV/atom; total moment = 4.134 μB/cell
1.0
3.246 0.007 0.000
-1.236 3.001 0.000
0.000 0.000 8.588
Mn Pt Cl
1 1 2
Direct
0.000 0.000 0.520 Mn
0.500 0.500 0.721 Pt
0.000 0.000 0.922 Cl
0.500 0.500 0.336 Cl


Run y
PBE MnPtCl2, relaxed; DOS at the Fermi energy = 1.330 states/eV/atom; total moment = 4.067 μB/cell
1.0
9.686 -0.070 -0.041
9.172 3.115 -0.041
9.172 1.481 2.740
Mn Pt Cl
1 1 2
Direct
0.250 0.250 0.250 Mn
0.750 0.750 0.750 Pt
0.973 0.973 0.973 Cl
0.527 0.527 0.527 Cl


Which of them is the most stable, and which is the least stable? run x and run y, in that order.